## CoAu5 (GGA-PBE)

Data for a relaxed CoAu5 crystal.

Lattice parameters (Å, degrees): 7.602 7.602 4.769 90.00 90.00 158.18
Element x y z (fractional)
Co: 0.112 0.888 0.500
Au: 0.002 0.998 0.000
Au: 0.333 0.667 0.000
Au: 0.663 0.337 0.000
Au: 0.453 0.547 0.500
Au: 0.770 0.230 0.500

Summary:
Space-group type: Amm2 (38)
Calculated formation energy, eV per atom: 0.14


## Zn3AgRh (GGA-PBE)

Data for a relaxed Zn3AgRh crystal.

Lattice parameters (Å, degrees): 4.745 4.745 4.745 90.00 90.00 90.00
Element x y z (fractional)
Zn: 0.000 0.500 0.000
Zn: 0.000 0.000 0.500
Zn: 0.500 0.000 0.000
Rh: 0.000 0.000 0.000
Ag: 0.500 0.500 0.500

Summary:
Relative energy among the computed polymorphs, meV/atom: 0
Space-group type: Pm-3m (221)
Calculated formation energy, eV per atom: 0.28


## NpGePdPt (GGA-PBE)

Data for a relaxed NpGePdPt crystal.

Lattice parameters (Å, degrees): 4.729 4.729 4.729 60.00 60.00 60.00
Element x y z (fractional)
Np: 0.000 0.000 0.000
Ge: 0.750 0.750 0.750
Pd: 0.500 0.500 0.500
Pt: 0.250 0.250 0.250

Summary:
Space-group type: F-43m (216)
Calculated formation energy, eV per atom: -0.25


## Si2RhNO (GGA-PBE)

Data for a relaxed Si2RhNO crystal.

Lattice parameters (Å, degrees): 4.637 3.708 4.637 90.00 90.00 90.00
Element x y z (fractional)
Si: 0.000 0.000 0.500
Si: 0.500 0.000 0.000
Rh: 0.000 0.000 0.000
O: 0.000 0.500 0.000
N: 0.500 0.500 0.500

Summary:
E_form (uncorrected), eV per atom: 1.072
Relative energy among the computed polymorphs, meV/atom: 2302
Space-group type: P4/mmm (123)


## La5Ho2Er6 (GGA-PBE)

Data for a relaxed La5Ho2Er6 crystal.

Lattice parameters (Å, degrees): 3.617 11.646 20.695 90.00 90.00 90.00
Element x y z (fractional)
La: 0.500 0.301 0.451
La: 0.500 0.699 0.549
La: 0.500 0.801 0.049
La: 0.500 0.199 0.951
La: 0.500 0.578 0.271
La: 0.500 0.422 0.729
La: 0.500 0.078 0.229
La: 0.500 0.922 0.771
La: 0.500 0.500 0.000
La: 0.500 0.000 0.500
Ho: 0.000 0.326 0.290
Ho: 0.000 0.674 0.710
Ho: 0.000 0.826 0.210
Ho: 0.000 0.174 0.790
Er: 0.000 0.079 0.369
Er: 0.000 0.921 0.631
Er: 0.000 0.579 0.131
Er: 0.000 0.421 0.869
Er: 0.500 0.323 0.140
Er: 0.500 0.677 0.860
Er: 0.500 0.823 0.360
Er: 0.500 0.177 0.640
Er: 0.000 0.563 0.418
Er: 0.000 0.437 0.582
Er: 0.000 0.063 0.082
Er: 0.000 0.937 0.918

Summary:
Space-group type: Pbam (55)
Calculated formation energy, eV per atom: 0.10


## BaLaAl2 (GGA-PBE)

Data for a relaxed BaLaAl2 crystal.

Lattice parameters (Å, degrees): 3.593 3.593 9.519 90.00 90.00 90.00
Element x y z (fractional)
Al: 0.000 0.000 0.045
Al: 0.500 0.500 0.182
Ba: 0.000 0.000 0.446
La: 0.500 0.500 0.827

Summary:
Relative energy among the computed polymorphs, meV/atom: 154
Space-group type: P4mm (99)
Calculated formation energy, eV per atom: -0.03


## LaErTmZn (GGA-PBE)

Data for a relaxed LaErTmZn crystal.

Lattice parameters (Å, degrees): 5.396 5.396 5.396 60.00 60.00 60.00
Element x y z (fractional)
Zn: 0.750 0.750 0.750
Tm: 0.250 0.250 0.250
La: 0.000 0.000 0.000
Er: 0.500 0.500 0.500

Summary:
Relative energy among the computed polymorphs, meV/atom: 183
Space-group type: F-43m (216)
Calculated formation energy, eV per atom: 0.02


## TbFe2Re (GGA-PBE)

Data for a relaxed TbFe2Re crystal.

Lattice parameters (Å, degrees): 2.909 2.909 9.002 80.70 80.70 60.00
Element x y z (fractional)
Re: 0.000 0.000 0.000
Tb: 0.500 0.500 0.500
Fe: 0.739 0.739 0.782
Fe: 0.261 0.261 0.218

Summary:
Space-group type: R-3m (166)
Calculated formation energy, eV per atom: 0.57